! PBE KYRe, relaxed; values from VASP
&SYSTEM
  ibrav = 0, nat = 3, ntyp = 3
/
ATOMIC_SPECIES
K 39.10 K.upf
Re 186.21 Re.upf
Y 88.91 Y.upf
CELL_PARAMETERS angstrom
5.372 0.000 0.000
-2.686 4.652 0.000
0.000 0.000 2.777
ATOMIC_POSITIONS crystal
K 0.000 0.000 0.831
Re 0.667 0.333 0.334
Y 0.333 0.667 0.835
! formation energy from the elements	336	kJ/mol of formula units
! density of states at the Fermi level	2.6	states/eV/cell
! total energy	-16.530	eV/f.u.
! size of the total moment	0.00	μB per formula unit
! symmetry	P3m1 (156)
! energy above the most stable polymorph in this dataset	0.197	eV/atom

=====

! PBE Ca2Cu4As3Pd, relaxed; values from VASP
&SYSTEM
  ibrav = 0, nat = 10, ntyp = 4
/
ATOMIC_SPECIES
Ca 40.08 Ca.upf
Cu 63.55 Cu.upf
As 74.92 As.upf
Pd 106.42 Pd.upf
CELL_PARAMETERS angstrom
-2.166 -3.522 -0.373
3.522 -2.095 -0.666
0.936 -1.648 10.131
ATOMIC_POSITIONS crystal
Ca 0.500 0.000 0.249
Ca 0.000 0.500 0.751
Cu 0.500 0.500 0.000
Cu 0.000 0.000 0.000
Cu 0.500 0.000 0.637
Cu 0.000 0.500 0.363
As 0.000 0.000 0.500
As 0.500 0.000 0.865
As 0.000 0.500 0.135
Pd 0.500 0.500 0.500
! formation energy from the elements	-491	kJ/mol of formula units
! density of states at the Fermi level	4.5	states/eV/cell
! total energy	-44.619	eV/f.u.
! size of the total moment	0.00	μB per formula unit
! symmetry	P-4m2 (115)